(1)
# Zn12Cu7Ir (PBE, relaxed)
# * DFT total energy: -2.669 eV/atom
# * mass density: 8.6 g cm⁻³
# * ΔH_f (0 K): -0.03 eV/atom
data_Zn12Cu7Ir
_chemical_formula_sum 'Zn36 Cu21 Ir3'
_cell_length_a 10.3950
_cell_length_b 10.3950
_cell_length_c 8.8236
_cell_angle_alpha 90.00
_cell_angle_beta 90.00
_cell_angle_gamma 120.00
_space_group_name_H-M_alt 'R -3'
_space_group_IT_number 148
_space_group_name_Hall '-R 3'
loop_
_atom_site_label
_atom_site_fract_x
_atom_site_fract_y
_atom_site_fract_z
Zn1 0.0059 0.7502 0.0064
Zn2 0.0599 0.5458 0.1217
Cu1 0.0000 0.0000 0.5000
Cu2 0.0705 0.9012 0.7463
Ir1 0.0000 0.0000 0.0000

---

(2)
# Zn2CuIr (PBE, relaxed)
# * DFT total energy: -3.905 eV/atom
# * mass density: 11.7 g cm⁻³
# * ΔH_f (0 K): -0.03 eV/atom
data_Zn2CuIr
_chemical_formula_sum 'Zn2 Cu1 Ir1'
_cell_length_a 3.114
_cell_length_b 3.114
_cell_length_c 5.651
_cell_angle_alpha 90.00
_cell_angle_beta 90.00
_cell_angle_gamma 90.00
_space_group_name_H-M_alt 'P 4 m m'
_space_group_IT_number 99
loop_
_space_group_symop_operation_xyz
'x,y,z'
'-y,x,z'
'-x,-y,z'
'y,-x,z'
'-x,y,z'
'y,x,z'
'x,-y,z'
'-y,-x,z'
loop_
_atom_site_label
_atom_site_fract_x
_atom_site_fract_y
_atom_site_fract_z
Zn1 0.000 0.000 0.000
Zn2 0.500 0.500 0.270
Cu1 0.000 0.000 0.494
Ir1 0.500 0.500 0.759

---

(3)
# ZnCu3Ir (PBE, relaxed)
# * DFT total energy: -4.468 eV/atom
# * mass density: 11.4 g cm⁻³
# * ΔH_f (0 K): 0.02 eV/atom
data_ZnCu3Ir
_chemical_formula_sum 'Zn2 Cu6 Ir2'
_cell_length_a 4.333
_cell_length_b 4.517
_cell_length_c 6.988
_cell_angle_alpha 72.23
_cell_angle_beta 89.72
_cell_angle_gamma 89.82
_space_group_name_H-M_alt 'P -1'
_space_group_IT_number 2
loop_
_space_group_symop_operation_xyz
'x,y,z'
'-x,-y,-z'
loop_
_atom_site_label
_atom_site_fract_x
_atom_site_fract_y
_atom_site_fract_z
Zn1 0.249 0.147 0.395
Cu1 0.250 0.342 0.992
Cu2 0.251 0.927 0.810
Cu3 0.252 0.526 0.605
Ir1 0.249 0.738 0.208

---

(4)
# Zn2CuIr (PBE, relaxed)
# * DFT total energy: -4.015 eV/atom
# * mass density: 11.8 g cm⁻³
# * ΔH_f (0 K): -0.14 eV/atom
data_Zn2CuIr
_chemical_formula_sum 'Zn2 Cu1 Ir1'
_cell_length_a 3.056
_cell_length_b 3.056
_cell_length_c 5.806
_cell_angle_alpha 90.00
_cell_angle_beta 90.00
_cell_angle_gamma 90.00
_space_group_name_H-M_alt 'P 4/m m m'
_space_group_IT_number 123
_space_group_name_Hall '-P 4 2'
loop_
_atom_site_label
_atom_site_fract_x
_atom_site_fract_y
_atom_site_fract_z
Zn1 0.000 0.000 0.245
Cu1 0.500 0.500 0.000
Ir1 0.500 0.500 0.500

---

no.,Fermi-level density of states (states/eV/f.u.)
1,4.92
2,1.67
3,2.16
4,1.13